An optimized crystal structure of CsAl2CuBr8, computed with GGA-PBE.

The space group is P-3 (No. 147) and the conventional cell measures 6.8677, 6.8677 and 10.0298 Å, with angles of 90.00, 90.00 and 120.00 degrees. The asymmetric unit holds Cs at (0.0000, 0.0000, 0.0000), Al at (0.3333, 0.6667, 0.7308), Cu at (0.0000, 0.0000, 0.5000), Br at (0.0211, 0.3291, 0.6617) and Br at (0.3333, 0.6667, 0.9634).

For the formation energy from raw total energies, the calculation gives -1.09 eV/atom. The density is 3.61 g/cm3.

=====

An optimized crystal structure of Cs2AlBr6F, computed with GGA-PBE.

The space group is I4/mmm (No. 139) and the conventional cell measures 7.492, 7.492 and 11.848 Å, with angles of 90.00, 90.00 and 90.00 degrees. The asymmetric unit holds Cs at (0.000, 0.500, 0.250), Al at (0.000, 0.000, 0.000), Br at (0.000, 0.000, 0.211), Br at (0.240, 0.240, 0.000) and F at (0.000, 0.000, 0.500).

For the formation energy from raw total energies, the calculation gives -1.11 eV/atom. The density is 3.95 g/cm3.

=====

An optimized crystal structure of Cs2AlBrF6, computed with GGA-PBE.

The space group is I4/mmm (No. 139) and the conventional cell measures 7.081, 7.081 and 8.015 Å, with angles of 90.00, 90.00 and 90.00 degrees. The asymmetric unit holds Cs at (0.000, 0.500, 0.250), Al at (0.000, 0.000, 0.000), Br at (0.000, 0.000, 0.500), F at (0.000, 0.000, 0.250) and F at (0.178, 0.178, 0.000).

For the formation energy from raw total energies, the calculation gives -2.66 eV/atom. The density is 4.02 g/cm3.

=====

An optimized crystal structure of Cs2AlGaBr6, computed with GGA-PBE.

The space group is Fm-3m (No. 225) and the conventional cell measures 11.187, 11.187 and 11.187 Å, with angles of 90.00, 90.00 and 90.00 degrees. The asymmetric unit holds Cs at (0.250, 0.250, 0.250), Al at (0.000, 0.000, 0.000), Ga at (0.000, 0.000, 0.500) and Br at (0.000, 0.000, 0.228).

For the formation energy from raw total energies, the calculation gives -1.29 eV/atom. The density is 3.99 g/cm3.

=====

An optimized crystal structure of CsAl2GaBr8, computed with GGA-PBE.

The space group is R-3 (No. 148, hexagonal axes) and the conventional cell measures 7.1127, 7.1127 and 31.2756 Å, with angles of 90.00, 90.00 and 120.00 degrees. The asymmetric unit holds Cs at (0.0000, 0.0000, 0.0000), Al at (0.0000, 0.0000, 0.2516), Ga at (0.0000, 0.0000, 0.5000), Br at (0.0000, 0.0000, 0.3259) and Br at (0.0104, 0.3690, 0.4388).

For the formation energy from raw total energies, the calculation gives -1.20 eV/atom. The density is 3.26 g/cm3.

=====

An optimized crystal structure of Cs2AlHBr6, computed with GGA-PBE.

The space group is I4/mmm (No. 139) and the conventional cell measures 7.206, 7.206 and 11.857 Å, with angles of 90.00, 90.00 and 90.00 degrees. The asymmetric unit holds Cs at (0.000, 0.500, 0.250), Al at (0.000, 0.000, 0.000), H at (0.000, 0.000, 0.500), Br at (0.000, 0.000, 0.206) and Br at (0.241, 0.241, 0.500).

The total energy comes out at -0.209 Ry per atom. The density is 4.17 g/cm3.

=====

An optimized crystal structure of Cs2HfAlBr6, computed with GGA-PBE.

The space group is Fm-3m (No. 225) and the conventional cell measures 11.455, 11.455 and 11.455 Å, with angles of 90.00, 90.00 and 90.00 degrees. The asymmetric unit holds Cs at (0.250, 0.250, 0.250), Hf at (0.000, 0.000, 0.000), Al at (0.000, 0.000, 0.500) and Br at (0.000, 0.000, 0.234).

For the formation energy from raw total energies, the calculation gives -1.24 eV/atom. The density is 4.20 g/cm3.

=====

An optimized crystal structure of CsAlHgBr2, computed with GGA-PBE.

The space group is P4/mmm (No. 123) and the conventional cell measures 5.803, 5.803 and 5.256 Å, with angles of 90.00, 90.00 and 90.00 degrees. The asymmetric unit holds Cs at (0.000, 0.000, 0.000), Al at (0.500, 0.500, 0.500), Hg at (0.500, 0.500, 0.000) and Br at (0.000, 0.500, 0.500).

For the formation energy from raw total energies, the calculation gives -0.86 eV/atom. The density is 4.88 g/cm3.

=====

An optimized crystal structure of Cs2AlHgBr5, computed with GGA-PBE.

The space group is I4mm (No. 107) and the conventional cell measures 8.146, 8.146 and 10.334 Å, with angles of 90.00, 90.00 and 90.00 degrees. The asymmetric unit holds Cs at (0.000, 0.500, 0.000), Al at (0.000, 0.000, 0.209), Hg at (0.000, 0.000, 0.583), Br at (0.000, 0.000, 0.980) and Br at (0.212, 0.212, 0.258).

For the formation energy from raw total energies, the calculation gives -1.31 eV/atom. The density is 4.32 g/cm3.

=====

An optimized crystal structure of Cs2AlHgBr6, computed with GGA-PBE.

The space group is I4/mmm (No. 139) and the conventional cell measures 7.906, 7.906 and 11.212 Å, with angles of 90.00, 90.00 and 90.00 degrees. The asymmetric unit holds Cs at (0.000, 0.500, 0.250), Al at (0.000, 0.000, 0.000), Hg at (0.000, 0.000, 0.500), Br at (0.000, 0.000, 0.228) and Br at (0.229, 0.229, 0.000).

For the formation energy from raw total energies, the calculation gives -1.19 eV/atom. The density is 4.61 g/cm3.

=====

An optimized crystal structure of Cs2AlIBr6, computed with GGA-PBE.

The space group is I4/mmm (No. 139) and the conventional cell measures 8.633, 8.633 and 11.166 Å, with angles of 90.00, 90.00 and 90.00 degrees. The asymmetric unit holds Cs at (0.000, 0.500, 0.250), Al at (0.000, 0.000, 0.000), I at (0.000, 0.000, 0.500), Br at (0.000, 0.000, 0.257) and Br at (0.200, 0.200, 0.000).

For the formation energy from raw total energies, the calculation gives -1.11 eV/atom. The density is 3.59 g/cm3.

=====

An optimized crystal structure of CsAlI2Br, computed with GGA-PBE.

The space group is P4/mmm (No. 123) and the conventional cell measures 5.885, 5.885 and 5.503 Å, with angles of 90.00, 90.00 and 90.00 degrees. The asymmetric unit holds Cs at (0.000, 0.000, 0.000), Al at (0.500, 0.500, 0.500), I at (0.000, 0.500, 0.500) and Br at (0.500, 0.500, 0.000).

For the formation energy from raw total energies, the calculation gives -0.96 eV/atom. The density is 4.30 g/cm3.

=====

An optimized crystal structure of Cs2AlI6Br, computed with GGA-PBE.

The space group is I4/mmm (No. 139) and the conventional cell measures 9.003, 9.003 and 11.850 Å, with angles of 90.00, 90.00 and 90.00 degrees. The asymmetric unit holds Cs at (0.000, 0.500, 0.250), Al at (0.000, 0.000, 0.000), I at (0.000, 0.000, 0.267), I at (0.211, 0.211, 0.000) and Br at (0.000, 0.000, 0.500).

For the formation energy from raw total energies, the calculation gives -0.82 eV/atom. The density is 3.92 g/cm3.

=====

An optimized crystal structure of CsAl2InBr8, computed with GGA-PBE.

The space group is R-3 (No. 148, hexagonal axes) and the conventional cell measures 7.2399, 7.2399 and 31.4549 Å, with angles of 90.00, 90.00 and 120.00 degrees. The asymmetric unit holds Cs at (0.0000, 0.0000, 0.0000), Al at (0.0000, 0.0000, 0.2545), In at (0.0000, 0.0000, 0.5000), Br at (0.0000, 0.0000, 0.3283) and Br at (0.0092, 0.3859, 0.4365).

For the formation energy from raw total energies, the calculation gives -1.22 eV/atom. The density is 3.28 g/cm3.

=====

An optimized crystal structure of Cs2LaAlBr6, computed with GGA-PBE.

The space group is Fm-3m (No. 225) and the conventional cell measures 11.956, 11.956 and 11.956 Å, with angles of 90.00, 90.00 and 90.00 degrees. The asymmetric unit holds Cs at (0.250, 0.250, 0.250), La at (0.000, 0.000, 0.000), Al at (0.000, 0.000, 0.500) and Br at (0.000, 0.000, 0.246).

For the formation energy from raw total energies, the calculation gives -1.56 eV/atom. The density is 3.54 g/cm3.

=====

An optimized crystal structure of CsLaAl2Br, computed with GGA-PBE.

The space group is P4/mmm (No. 123) and the conventional cell measures 5.761, 5.761 and 6.071 Å, with angles of 90.00, 90.00 and 90.00 degrees. The asymmetric unit holds Cs at (0.000, 0.000, 0.000), La at (0.000, 0.000, 0.500), Al at (0.000, 0.500, 0.000) and Br at (0.500, 0.500, 0.500).

For the formation energy from raw total energies, the calculation gives 1.17 eV/atom. The density is 3.34 g/cm3.

=====

An optimized crystal structure of Cs2LiAlBr6, computed with GGA-PBE.

The space group is P-3m1 (No. 164) and the conventional cell measures 7.7379, 7.7379 and 6.5445 Å, with angles of 90.00, 90.00 and 120.00 degrees. The asymmetric unit holds Cs at (0.3333, 0.6667, 0.2653), Li at (0.0000, 0.0000, 0.0000), Al at (0.0000, 0.0000, 0.5000) and Br at (0.1535, 0.3071, 0.7278).

For the formation energy from raw total energies, the calculation gives -1.50 eV/atom. The density is 3.81 g/cm3.

=====

An optimized crystal structure of CsMg2AlBr, computed with GGA-PBE.

The space group is P4/mmm (No. 123) and the conventional cell measures 5.323, 5.323 and 6.683 Å, with angles of 90.00, 90.00 and 90.00 degrees. The asymmetric unit holds Cs at (0.000, 0.000, 0.000), Mg at (0.000, 0.500, 0.500), Al at (0.500, 0.500, 0.500) and Br at (0.500, 0.500, 0.000).

For the formation energy from raw total energies, the calculation gives -0.16 eV/atom. The density is 2.53 g/cm3.

=====

An optimized crystal structure of Cs2NaAlBr6, computed with GGA-PBE.

The space group is P-3m1 (No. 164) and the conventional cell measures 7.7912, 7.7912 and 7.0939 Å, with angles of 90.00, 90.00 and 120.00 degrees. The asymmetric unit holds Cs at (0.3333, 0.6667, 0.2986), Na at (0.0000, 0.0000, 0.0000), Al at (0.0000, 0.0000, 0.5000) and Br at (0.1542, 0.3085, 0.7082).

For the formation energy from raw total energies, the calculation gives -1.50 eV/atom. The density is 3.54 g/cm3.

=====

An optimized crystal structure of CsNaAl2Br8, computed with GGA-PBE.

The space group is R-3 (No. 148, hexagonal axes) and the conventional cell measures 7.0270, 7.0270 and 31.0507 Å, with angles of 90.00, 90.00 and 120.00 degrees. The asymmetric unit holds Cs at (0.0000, 0.0000, 0.0000), Na at (0.0000, 0.0000, 0.5000), Al at (0.0000, 0.0000, 0.2489), Br at (0.0000, 0.0000, 0.3240) and Br at (0.0109, 0.3585, 0.4410).

For the formation energy from raw total energies, the calculation gives -1.37 eV/atom. The density is 3.19 g/cm3.

=====

An optimized crystal structure of Cs2AlPBr6, computed with GGA-PBE.

The space group is I4/mmm (No. 139) and the conventional cell measures 7.756, 7.756 and 10.788 Å, with angles of 90.00, 90.00 and 90.00 degrees. The asymmetric unit holds Cs at (0.000, 0.500, 0.250), Al at (0.000, 0.000, 0.000), P at (0.000, 0.000, 0.500), Br at (0.000, 0.000, 0.259) and Br at (0.236, 0.236, 0.000).

For the formation energy from raw total energies, the calculation gives -0.95 eV/atom. The density is 4.11 g/cm3.

=====

An optimized crystal structure of Cs2AlPbBr6, computed with GGA-PBE.

The space group is I4/mmm (No. 139) and the conventional cell measures 8.065, 8.065 and 11.376 Å, with angles of 90.00, 90.00 and 90.00 degrees. The asymmetric unit holds Cs at (0.000, 0.500, 0.250), Al at (0.000, 0.000, 0.000), Pb at (0.000, 0.000, 0.500), Br at (0.000, 0.000, 0.232) and Br at (0.232, 0.232, 0.000).

For the formation energy from raw total energies, the calculation gives -1.24 eV/atom. The density is 4.40 g/cm3.

=====

An optimized crystal structure of CsAlPbBr6, computed with GGA-PBE.

The space group is P312 (No. 149) and the conventional cell measures 7.4270, 7.4270 and 7.8404 Å, with angles of 90.00, 90.00 and 120.00 degrees. The asymmetric unit holds Cs at (0.0000, 0.0000, 0.0000), Al at (0.6667, 0.3333, 0.5000), Pb at (0.3333, 0.6667, 0.5000) and Br at (0.3962, 0.0519, 0.6917).

For the formation energy from raw total energies, the calculation gives -1.19 eV/atom. The density is 3.75 g/cm3.